Record 1
DFT (PBE-GGA) results for a geometry-optimized InRePO structure.

a b c (Å): 3.9817 3.9817 7.5686
angles (deg): 90.00 90.00 90.00
Positions (direct):
O 0.5000 0.0000 0.0000
Re 0.5000 0.0000 0.5000
P 0.5000 0.5000 0.3198
O 0.0000 0.5000 0.0000
In 0.5000 0.5000 0.8671
Re 0.0000 0.5000 0.5000
P 0.0000 0.0000 0.6802
In 0.0000 0.0000 0.1329

Results
Total moment ... 0.0 μB per formula unit
Offset from the most stable computed form ... 0 meV/atom

---

Record 2
DFT (PBE-GGA) results for a geometry-optimized InRePO structure.

a b c (Å): 3.0308 7.1129 5.8172
angles (deg): 90.00 90.00 90.00
Positions (direct):
Re 0.5000 0.0100 0.5966
O 0.5000 0.7938 0.3543
In 0.0000 0.4409 0.9525
P 0.0000 0.1744 0.3505
P 0.0000 0.8256 0.8505
O 0.5000 0.2062 0.8543
In 0.0000 0.5591 0.4525
Re 0.5000 0.9900 0.0966

Results
Total moment ... 0.0 μB per formula unit
Offset from the most stable computed form ... 13 meV/atom

---

Record 3
DFT (PBE-GGA) results for a geometry-optimized InRePO structure.

a b c (Å): 4.1386 4.1386 9.1488
angles (deg): 90.00 90.00 90.00
Positions (direct):
P 0.0000 0.0000 0.7177
Re 0.5000 0.5000 0.0469
O 0.0000 0.5000 0.0000
In 0.0000 0.5000 0.5000
Re 0.0000 0.0000 0.9531
O 0.5000 0.0000 0.0000
P 0.5000 0.5000 0.2823
In 0.5000 0.0000 0.5000

Results
Total moment ... 0.0 μB per formula unit
Offset from the most stable computed form ... 541 meV/atom

---

Record 4
DFT (PBE-GGA) results for a geometry-optimized InRePO structure.

a b c (Å): 3.8138 7.7531 4.8220
angles (deg): 90.00 90.00 90.00
Positions (direct):
Re 0.5000 0.1164 0.4250
Re 0.5000 0.8836 0.9250
O 0.0000 0.8758 0.9266
In 0.0000 0.5888 0.4813
P 0.5000 0.8156 0.4211
P 0.5000 0.1844 0.9211
O 0.0000 0.1242 0.4266
In 0.0000 0.4112 0.9813

Results
Total moment ... 0.0 μB per formula unit
Offset from the most stable computed form ... 73 meV/atom